Entry 1:
# Li3Pr2DyTe6

Li3Pr2DyTe6 after structural relaxation (PBE, the Alexandria database).

Cell lengths 7.693, 13.328, 7.542 Å; angles 90.00, 109.89, 90.00 degrees
Space group C2/m (No. 12)
One atom of each set of equivalent atoms:
Li 0.000 0.000 0.000 (multiplicity 2)
Li 0.000 0.333 0.000 (multiplicity 4)
Pr 0.000 0.167 0.500 (multiplicity 4)
Dy 0.000 0.500 0.500 (multiplicity 2)
Te 0.237 0.500 0.240 (multiplicity 4)
Te 0.249 0.338 0.761 (multiplicity 8)

Values from the calculation:
The value obtained for the energy relative to the elements, uncorrected is -124.7 kJ/mol of atoms.

---

Entry 2:
# ErZnIn

ErZnIn after structural relaxation (PBE, the Alexandria database).

Cell lengths 3.453, 3.453, 11.437 Å; angles 90.00, 90.00, 90.00 degrees
Space group I4mm (No. 107)
One atom of each set of equivalent atoms:
Er 0.000 0.000 0.000 (multiplicity 2)
Zn 0.000 0.000 0.340 (multiplicity 2)
In 0.000 0.000 0.695 (multiplicity 2)

Values from the calculation:
Its total energy is -0.2281 Ry/atom.

---

Entry 3:
# Nd2Sm8Sc3

Nd2Sm8Sc3 after structural relaxation (PBE, the Alexandria database).

Cell lengths 14.999, 8.817, 6.650 Å; angles 90.00, 98.72, 90.00 degrees
Space group C2/m (No. 12)
One atom of each set of equivalent atoms:
Nd 0.202 0.000 0.293 (multiplicity 4)
Sm 0.091 0.500 0.896 (multiplicity 4)
Sm 0.109 0.317 0.427 (multiplicity 8)
Sm 0.187 0.000 0.806 (multiplicity 4)
Sc 0.000 0.000 0.500 (multiplicity 2)
Sc 0.000 0.162 0.000 (multiplicity 4)

Values from the calculation:
As for the energy relative to the lowest polymorph listed for this composition: 61.8 meV per atom.

---

Entry 4:
# NiP4Pd2

NiP4Pd2 after structural relaxation (PBE, the Alexandria database).

Cell lengths 4.454, 4.454, 11.950 Å; angles 90.00, 90.00, 90.00 degrees
Space group I4/mmm (No. 139)
One atom of each set of equivalent atoms:
Ni 0.000 0.000 0.000 (multiplicity 2)
P 0.000 0.000 0.194 (multiplicity 4)
P 0.000 0.500 0.000 (multiplicity 4)
Pd 0.000 0.000 0.383 (multiplicity 4)

Values from the calculation:
Its total energy is -0.3741 Ry/atom.

---

Entry 5:
# KSb2As2

KSb2As2 after structural relaxation (PBE, the Alexandria database).

Cell lengths 4.534, 4.534, 13.999 Å; angles 90.00, 90.00, 90.00 degrees
Space group I4/mmm (No. 139)
One atom of each set of equivalent atoms:
K 0.000 0.000 0.000 (multiplicity 2)
Sb 0.000 0.500 0.250 (multiplicity 4)
As 0.000 0.000 0.415 (multiplicity 4)

Values from the calculation:
As for the energy relative to the lowest polymorph listed for this composition: 145.0 meV per atom. The value obtained for the energy relative to the elements, uncorrected is 0.3 kJ/mol of atoms.

---

Entry 6:
# La9Nd2Er

La9Nd2Er after structural relaxation (PBE, the Alexandria database).

Cell lengths 5.227, 5.227, 15.696 Å; angles 90.00, 90.00, 90.00 degrees
Space group P4/mmm (No. 123)
One atom of each set of equivalent atoms:
La 0.000 0.000 0.000 (multiplicity 1)
La 0.000 0.000 0.333 (multiplicity 2)
La 0.000 0.500 0.165 (multiplicity 4)
La 0.000 0.500 0.500 (multiplicity 2)
Nd 0.500 0.500 0.332 (multiplicity 2)
Er 0.500 0.500 0.000 (multiplicity 1)

Values from the calculation:
Its total energy is -0.3575 Ry/atom.